Record 1
Pm2Sn4PtAu3, relaxed, DFT PBE-GGA; symmetry = P-4m2; energy of formation from the pure elements = -561 kJ/mol of formula units; electronic total energy = -4.72 eV/atom
1.0
4.5840 0.0000 0.0000
0.0000 4.5840 0.0000
0.0000 0.0000 11.4797
Pm Sn Pt Au
2 4 1 3
direct
0.0000 0.5000 0.2191
0.5000 0.0000 0.7809
0.0000 0.0000 0.5000
0.0000 0.5000 0.8725
0.5000 0.0000 0.1275
0.5000 0.5000 0.5000
0.5000 0.5000 0.0000
0.0000 0.0000 0.0000
0.0000 0.5000 0.6432
0.5000 0.0000 0.3568

***

Record 2
LiNd2Mg2, relaxed, DFT PBE-GGA; symmetry = Immm; energy of formation from the pure elements = 10 kJ/mol of formula units; electronic total energy = -2.91 eV/atom
1.0
3.4552 0.0000 0.0000
0.0000 7.2394 0.0000
0.0000 0.0000 10.9750
Li Nd Mg
2 4 4
direct
0.0000 0.0000 0.0000
0.5000 0.5000 0.5000
0.0000 0.5000 0.2353
0.0000 0.5000 0.7647
0.5000 0.0000 0.2647
0.5000 0.0000 0.7353
0.0000 0.2026 0.5000
0.0000 0.7974 0.5000
0.5000 0.2974 0.0000
0.5000 0.7026 0.0000

***

Record 3
Tc4POs, relaxed, DFT PBE-GGA; symmetry = F-43m; energy of formation from the pure elements = 445 kJ/mol of formula units; electronic total energy = -8.91 eV/atom
1.0
0.0000 3.5845 3.5845
3.5845 0.0000 3.5845
3.5845 3.5845 0.0000
Tc P Os
4 1 1
direct
0.1253 0.1253 0.1253
0.1253 0.1253 0.6242
0.1253 0.6242 0.1253
0.6242 0.1253 0.1253
0.5000 0.5000 0.5000
0.7500 0.7500 0.7500

***

Record 4
SiS, relaxed, DFT PBE-GGA; symmetry = I-43m; formation energy from raw total energies = 7 kJ/mol of formula units; electronic total energy = -4.74 eV/atom
1.0
9.6400 0.0000 0.0000
0.0000 9.6400 0.0000
0.0000 0.0000 9.6400
Si S
8 8
direct
0.1173 0.1173 0.1173
0.1173 0.8827 0.8827
0.3827 0.3827 0.6173
0.3827 0.6173 0.3827
0.6173 0.3827 0.3827
0.6173 0.6173 0.6173
0.8827 0.1173 0.8827
0.8827 0.8827 0.1173
0.1246 0.1246 0.8754
0.1246 0.8754 0.1246
0.3754 0.3754 0.3754
0.3754 0.6246 0.6246
0.6246 0.3754 0.6246
0.6246 0.6246 0.3754
0.8754 0.1246 0.1246
0.8754 0.8754 0.8754

***

Record 5
PuAl2Sn, relaxed, DFT PBE-GGA; symmetry = P4/mmm; energy of formation from the pure elements = -114 kJ/mol of formula units; offset from the most stable computed form = 0 meV/atom; electronic total energy = -6.75 eV/atom
1.0
4.4120 0.0000 0.0000
0.0000 4.4120 0.0000
0.0000 0.0000 4.3577
Pu Al Sn
1 2 1
direct
0.0000 0.0000 0.0000
0.0000 0.5000 0.5000
0.5000 0.0000 0.5000
0.5000 0.5000 0.0000

***

Record 6
Er2ZrOs, relaxed, DFT PBE-GGA; symmetry = R-3m; energy of formation from the pure elements = 126 kJ/mol of formula units; electronic total energy = -6.90 eV/atom
1.0
3.2270 0.0000 0.0000
-1.6135 2.7947 0.0000
0.0000 0.0000 31.8405
Er Zr Os
6 3 3
direct
0.0000 0.0000 0.1003
0.0000 0.0000 0.8997
0.3333 0.6667 0.5663
0.3333 0.6667 0.7670
0.6667 0.3333 0.2330
0.6667 0.3333 0.4337
0.0000 0.0000 0.0000
0.3333 0.6667 0.6667
0.6667 0.3333 0.3333
0.0000 0.0000 0.5000
0.3333 0.6667 0.1667
0.6667 0.3333 0.8333

***

Record 7
Nb4GaMo, relaxed, DFT PBE-GGA; symmetry = C2/m; energy of formation from the pure elements = 250 kJ/mol of formula units; electronic total energy = -8.59 eV/atom
1.0
7.4984 0.0000 0.0000
0.0000 4.3505 0.0000
-2.4820 0.0000 7.3520
Nb Ga Mo
8 2 2
direct
0.1235 0.0000 0.3715
0.1238 0.5000 0.8724
0.3762 0.0000 0.1276
0.3765 0.5000 0.6285
0.6235 0.5000 0.3715
0.6238 0.0000 0.8724
0.8762 0.5000 0.1276
0.8765 0.0000 0.6285
0.0000 0.0000 0.0000
0.5000 0.5000 0.0000
0.0000 0.5000 0.5000
0.5000 0.0000 0.5000

***

Record 8
Cs2SbPt, relaxed, DFT PBE-GGA; symmetry = Fm-3m; formation energy from raw total energies = 179 kJ/mol of formula units; electronic total energy = -2.50 eV/atom
1.0
8.7019 0.0000 0.0000
0.0000 8.7019 0.0000
0.0000 0.0000 8.7019
Cs Sb Pt
8 4 4
direct
0.2500 0.2500 0.2500
0.2500 0.2500 0.7500
0.2500 0.7500 0.2500
0.2500 0.7500 0.7500
0.7500 0.2500 0.2500
0.7500 0.2500 0.7500
0.7500 0.7500 0.2500
0.7500 0.7500 0.7500
0.0000 0.0000 0.0000
0.0000 0.5000 0.5000
0.5000 0.0000 0.5000
0.5000 0.5000 0.0000
0.0000 0.0000 0.5000
0.0000 0.5000 0.0000
0.5000 0.0000 0.0000
0.5000 0.5000 0.5000

***

Record 9
AlPtO2, relaxed, DFT PBE-GGA; symmetry = Cc; formation energy from raw total energies = -696 kJ/mol of formula units; electronic total energy = -6.73 eV/atom
1.0
12.3179 0.0000 0.0000
0.0000 2.8282 0.0000
-1.4643 0.0000 5.0117
Al Pt O
4 4 8
direct
0.0000 0.2499 0.0000
0.0000 0.7501 0.5000
0.5000 0.2501 0.5000
0.5000 0.7499 0.0000
0.2500 0.0009 0.5001
0.2500 0.9991 0.0001
0.7500 0.4991 0.0001
0.7500 0.5009 0.5001
0.0808 0.2161 0.3841
0.0808 0.7839 0.8841
0.4192 0.2155 0.1160
0.4192 0.7845 0.6160
0.5808 0.2839 0.8841
0.5808 0.7161 0.3841
0.9192 0.2845 0.6160
0.9192 0.7155 0.1160

***

Record 10
Ga2HgTe4, relaxed, DFT PBE-GGA; symmetry = P-42m; formation energy from raw total energies = -192 kJ/mol of formula units; offset from the most stable computed form = 17 meV/atom; electronic total energy = -2.99 eV/atom
1.0
6.0507 0.0000 0.0000
0.0000 6.0507 0.0000
0.0000 0.0000 6.4222
Ga Hg Te
2 1 4
direct
0.0000 0.5000 0.0000
0.5000 0.0000 0.0000
0.0000 0.0000 0.5000
0.2768 0.2768 0.7486
0.2768 0.7232 0.2514
0.7232 0.2768 0.2514
0.7232 0.7232 0.7486

***

Record 11
Ce3NiPb, relaxed, DFT PBE-GGA; symmetry = Pm-3m; energy of formation from the pure elements = -93 kJ/mol of formula units; electronic total energy = -5.65 eV/atom
1.0
5.2582 0.0000 0.0000
0.0000 5.2582 0.0000
0.0000 0.0000 5.2582
Ce Ni Pb
3 1 1
direct
0.0000 0.0000 0.5000
0.0000 0.5000 0.0000
0.5000 0.0000 0.0000
0.0000 0.0000 0.0000
0.5000 0.5000 0.5000

***

Record 12
BeIn2Os, relaxed, DFT PBE-GGA; symmetry = P2/m; energy of formation from the pure elements = 257 kJ/mol of formula units; electronic total energy = -4.44 eV/atom
1.0
2.9963 0.0000 0.0000
0.0000 4.1082 0.0000
-0.0228 0.0000 5.6335
Be In Os
1 2 1
direct
0.0000 0.0000 0.0000
0.0035 0.5000 0.7453
0.9965 0.5000 0.2547
0.5000 0.0000 0.5000